Computed, not measured: a geometry-optimized PaCoCuO4 structure at the PBE+U level of DFT.

Cell: 5.9162 5.9331 10.2500 Å, 90.00 90.00 90.00°
Space group Imma (No. 74)
One atom of each set of equivalent atoms:
Pa: 0.0000 0.2500 0.1134 x4
Co: 0.2500 0.2500 0.7500 x4
Cu: 0.0000 0.0000 0.5000 x4
O: 0.0000 0.0023 0.7448 x8
O: 0.2482 0.2500 0.9649 x8

## Properties
As for the magnetic moment: 0.43 μB/atom. The final energy is -7.323 eV per atom. For the calculated density, the calculation gives 7.71 g/cm³.